No. 1
Compound: Ac3In3Ag8
Source: Alexandria via LeMat-Bulk
Functional: PBE
Structure: relaxed

The structure in POSCAR format:
```
Ac3In3Ag8
1.0
-2.4219 4.9846 7.2271
2.4219 -4.9846 7.2271
2.4219 4.9846 -7.2271
Ac In Ag
3 3 8
Cartesian
0.0000 0.0000 0.0000
0.0000 0.0000 4.2783
0.0000 0.0000 10.1760
2.4219 2.9562 0.0000
0.0000 4.9846 0.0000
0.0000 2.0285 7.2271
2.4219 -1.4005 2.3794
2.4219 -2.1588 5.2356
2.4219 1.4005 2.3794
0.0000 2.8258 1.9915
2.4219 2.1588 5.2356
0.0000 3.5841 4.8477
0.0000 7.1435 1.9915
0.0000 6.3851 4.8477
```

Calculated values
The calculation puts the energy relative to the lowest polymorph listed for this composition at 25 kJ/mol of formula units. The calculation puts the density at 8.99 g cm⁻³.

***

No. 2
Compound: Th5Ga5Cu2
Source: Alexandria via LeMat-Bulk
Functional: PBE
Structure: relaxed

The structure in POSCAR format:
```
Th5Ga5Cu2
1.0
7.6373 -2.1826 0.0000
7.6373 2.1826 0.0000
-7.5695 0.0000 8.4736
Th Ga Cu
5 5 2
Cartesian
0.0000 0.0000 0.0000
1.4665 0.0000 3.4815
4.1698 0.0000 1.5904
3.5353 0.0000 6.8832
6.2386 0.0000 4.9921
-3.7848 0.0000 4.2368
-1.5382 0.0000 2.7707
-1.8905 0.0000 7.3691
9.5956 0.0000 1.1045
9.2433 0.0000 5.7029
0.5074 0.0000 6.4163
7.1977 0.0000 2.0573
```

Calculated values
The calculation puts the density at 9.62 g cm⁻³. The calculated total energy is -0.400 Ry/atom.

***

No. 3
Compound: Ac2Nd7Er
Source: Alexandria via LeMat-Bulk
Functional: PBE
Structure: relaxed

The structure in POSCAR format:
```
Ac2Nd7Er
1.0
3.4299 -15.0327 0.0000
3.4299 15.0327 0.0000
0.0000 0.0000 3.6086
Ac Nd Er
2 7 1
Cartesian
3.4299 8.8581 0.0000
3.4299 -8.8581 0.0000
0.0000 0.0000 0.0000
1.7726 2.8631 0.0000
3.4299 5.5078 1.8043
1.7726 -2.8631 0.0000
5.0873 2.8631 0.0000
3.4299 -5.5078 1.8043
5.0873 -2.8631 0.0000
3.4299 0.0000 1.8043
```

Calculated values
The calculation puts the energy relative to the lowest polymorph listed for this composition at 0 kJ/mol of formula units. The calculation puts the density at 7.28 g cm⁻³.